Crystalline LaNdMgZn at its relaxed geometry, computed with PBE.

Unit cell a=3.7838 b=3.7838 c=7.8231 alpha=90.00 beta=90.00 gamma=90.00
Positions (direct):
Zn 0.0000 0.0000 0.3667
Mg 0.0000 0.0000 0.8489
Nd 0.5000 0.5000 0.5824
La 0.5000 0.5000 0.1300

Output
Relative energy among the computed polymorphs = 0.000 eV/atom
Formation energy from the elements = -0.2107 eV/atom
Space group = P4mm, No. 99
Magnetization = 0.00 μB/f.u.


Crystalline LaNdMgZn at its relaxed geometry, computed with PBE.

Unit cell a=5.3962 b=5.3962 c=5.3962 alpha=60.00 beta=60.00 gamma=60.00
Positions (direct):
Mg 0.5000 0.5000 0.5000
La 0.2500 0.2500 0.2500
Zn 0.0000 0.0000 0.0000
Nd 0.7500 0.7500 0.7500

Output
Relative energy among the computed polymorphs = 0.028 eV/atom
Formation energy from the elements = -0.1825 eV/atom
Space group = F-43m, No. 216
Magnetization = 0.00 μB/f.u.


Crystalline La2MgNi at its relaxed geometry, computed with PBE.

Unit cell a=6.4751 b=6.4751 c=5.1763 alpha=66.43 beta=66.43 gamma=31.97
Positions (direct):
La 0.0597 0.0597 0.9403
La 0.2417 0.2417 0.2583
Mg 0.4390 0.4390 0.5610
Ni 0.7596 0.7596 0.7403

Output
Formation energy from the elements = -0.1105 eV/atom
Space group = Imm2, No. 44
Magnetization = 0.00 μB/f.u.


Crystalline LaMgNi2 at its relaxed geometry, computed with PBE.

Unit cell a=3.3281 b=3.3567 c=7.3271 alpha=62.67 beta=90.00 gamma=90.00
Positions (direct):
La 0.5000 0.2500 0.2500
Ni 0.0000 0.4523 0.5485
Ni 0.0000 0.0477 0.9515
Mg 0.5000 0.7500 0.7500

Output
Formation energy from the elements = -0.1444 eV/atom
Space group = P2/m, No. 10
Magnetization = 0.00 μB/f.u.


Crystalline LaMgNi2 at its relaxed geometry, computed with PBE.

Unit cell a=3.5572 b=4.0095 c=5.4786 alpha=90.00 beta=90.00 gamma=90.00
Positions (direct):
Mg 0.5000 0.5000 0.8235
Ni 0.5000 0.5000 0.2860
Ni 0.0000 0.0000 0.9581
La 0.0000 0.0000 0.4325

Output
Formation energy from the elements = 0.0086 eV/atom
Space group = Pmm2, No. 25
Magnetization = 0.00 μB/f.u.


Crystalline La2Mg2Ni at its relaxed geometry, computed with PBE.

Unit cell a=6.8244 b=6.8244 c=5.4901 alpha=90.00 beta=90.00 gamma=90.00
Positions (direct):
Mg 0.8470 0.6530 0.0000
Mg 0.1530 0.3470 0.0000
Mg 0.3470 0.8470 0.0000
Mg 0.6530 0.1530 0.0000
La 0.8296 0.3296 0.5000
La 0.1704 0.6704 0.5000
La 0.3296 0.1704 0.5000
La 0.6704 0.8296 0.5000
Ni 0.5000 0.5000 0.0000
Ni 0.0000 0.0000 0.0000

Output
Formation energy from the elements = 0.0383 eV/atom
Space group = P4/mbm, No. 127
Magnetization = 0.00 μB/f.u.


Crystalline LaMg4Ni at its relaxed geometry, computed with PBE.

Unit cell a=4.3243 b=7.4029 c=8.5911 alpha=90.00 beta=90.00 gamma=90.00
Positions (direct):
Mg 0.5000 0.2951 0.9368
Mg 0.5000 0.0443 0.2500
Mg 0.0000 0.0000 0.0000
Mg 0.0000 0.0000 0.5000
Mg 0.5000 0.7049 0.4368
Mg 0.5000 0.7049 0.0632
Mg 0.5000 0.2951 0.5632
Mg 0.5000 0.9557 0.7500
La 0.0000 0.4138 0.2500
La 0.0000 0.5862 0.7500
Ni 0.0000 0.7891 0.2500
Ni 0.0000 0.2109 0.7500

Output
Relative energy among the computed polymorphs = 0.000 eV/atom
Formation energy from the elements = -0.1637 eV/atom
Space group = Pmma, No. 51
Magnetization = 0.00 μB/f.u.


Crystalline La2Mg2Ni15 at its relaxed geometry, computed with PBE.

Unit cell a=6.4187 b=6.4187 c=6.4187 alpha=82.75 beta=82.75 gamma=82.75
Positions (direct):
Ni 0.0000 0.5000 0.0000
Ni 0.6569 0.6569 0.1555
Ni 0.0000 0.2966 0.7034
Ni 0.0000 0.0000 0.5000
Ni 0.5000 0.0000 0.0000
Ni 0.7034 0.2966 0.0000
Ni 0.0000 0.7034 0.2966
Ni 0.2966 0.0000 0.7034
Ni 0.3431 0.3431 0.8445
Ni 0.6569 0.1555 0.6569
Ni 0.1555 0.6569 0.6569
Ni 0.2966 0.7034 0.0000
Ni 0.8445 0.3431 0.3431
Ni 0.7034 0.0000 0.2966
Ni 0.3431 0.8445 0.3431
Mg 0.8979 0.8979 0.8979
Mg 0.1021 0.1021 0.1021
La 0.3507 0.3507 0.3507
La 0.6493 0.6493 0.6493

Output
Formation energy from the elements = -0.2055 eV/atom
Space group = R-3m, No. 166
Magnetization = 3.52 μB/f.u.


Crystalline LaMgNi2 at its relaxed geometry, computed with PBE.

Unit cell a=6.3129 b=6.3129 c=6.3129 alpha=148.87 beta=142.36 gamma=49.62
Positions (direct):
Mg 0.2709 0.7709 0.5000
Ni 0.7725 0.2725 0.5000
Ni 0.9226 0.9226 0.0000
La 0.5340 0.5340 0.0000

Output
Formation energy from the elements = -0.0884 eV/atom
Space group = Imm2, No. 44
Magnetization = 0.00 μB/f.u.


Crystalline La2MgNi at its relaxed geometry, computed with PBE.

Unit cell a=4.0112 b=4.0112 c=9.0855 alpha=77.25 beta=77.25 gamma=60.00
Positions (direct):
Mg 0.4998 0.4998 0.5005
Ni 0.6664 0.6664 0.0007
La 0.2716 0.2716 0.1852
La 0.0621 0.0621 0.8137

Output
Formation energy from the elements = -0.0745 eV/atom
Space group = R3m, No. 160
Magnetization = 0.00 μB/f.u.


Crystalline La12MgNi5 at its relaxed geometry, computed with PBE.

Unit cell a=8.8159 b=8.8159 c=8.8159 alpha=106.86 beta=112.28 gamma=109.32
Positions (direct):
Ni 0.0000 0.0000 0.0000
Ni 0.6333 0.6333 0.0000
Ni 0.5000 0.8731 0.3731
Ni 0.3667 0.3667 0.0000
Ni 0.5000 0.1269 0.6269
La 0.6892 0.6748 0.3640
La 0.8118 0.6119 0.8001
La 0.3108 0.3252 0.6360
La 0.6892 0.3252 0.0144
La 0.8118 0.0117 0.1999
La 0.1275 0.8250 0.3025
La 0.1882 0.9883 0.8001
La 0.4775 0.1750 0.3025
La 0.1882 0.3881 0.1999
La 0.3108 0.6748 0.9856
La 0.5225 0.8250 0.6975
La 0.8725 0.1750 0.6975
Mg 0.0000 0.5000 0.5000

Output
Formation energy from the elements = -0.2153 eV/atom
Space group = Immm, No. 71
Magnetization = 0.00 μB/f.u.


Crystalline La4MgNi at its relaxed geometry, computed with PBE.

Unit cell a=6.4348 b=6.4348 c=6.4348 alpha=60.00 beta=60.00 gamma=60.00
Positions (direct):
Mg 0.7500 0.7500 0.7500
Ni 0.0000 0.0000 0.0000
La 0.3737 0.3737 0.3737
La 0.3737 0.8790 0.3737
La 0.8790 0.3737 0.3737
La 0.3737 0.3737 0.8790

Output
Relative energy among the computed polymorphs = 0.746 eV/atom
Formation energy from the elements = 0.5736 eV/atom
Space group = F-43m, No. 216
Magnetization = 0.00 μB/f.u.